Entry 1:
# FeBOsCl2 (PBE, relaxed)
# Raw formation energy (meV/atom): 1635
# D(E_F) (states/eV per cell): 4.95
# Total energy (eV/cell): -21.889
data_FeBOsCl2
_chemical_formula_sum 'Fe1 B1 Os1 Cl2'
_cell_length_a 4.6278
_cell_length_b 4.6278
_cell_length_c 4.9505
_cell_angle_alpha 90.00
_cell_angle_beta 90.00
_cell_angle_gamma 90.00
_space_group_name_H-M_alt 'P 4/m m m'
_space_group_IT_number 123
_space_group_name_Hall '-P 4 2'
loop_
_atom_site_label
_atom_site_fract_x
_atom_site_fract_y
_atom_site_fract_z
Fe1 0.0000 0.0000 0.0000
B1 0.5000 0.5000 0.0000
Os1 0.0000 0.0000 0.5000
Cl1 0.0000 0.5000 0.5000


Entry 2:
# FeBPCl2 (PBE, relaxed)
# Raw formation energy (meV/atom): 886
# D(E_F) (states/eV per cell): 3.82
# Energy above the lowest structure with this stoichiometry (meV/atom): 0
# Total energy (eV/cell): -19.815
data_FeBPCl2
_chemical_formula_sum 'Fe1 B1 P1 Cl2'
_cell_length_a 4.2214
_cell_length_b 4.2214
_cell_length_c 4.4872
_cell_angle_alpha 90.00
_cell_angle_beta 90.00
_cell_angle_gamma 90.00
_space_group_name_H-M_alt 'P 4/m m m'
_space_group_IT_number 123
_space_group_name_Hall '-P 4 2'
loop_
_atom_site_label
_atom_site_fract_x
_atom_site_fract_y
_atom_site_fract_z
Fe1 0.0000 0.0000 0.0000
B1 0.5000 0.5000 0.5000
P1 0.5000 0.5000 0.0000
Cl1 0.0000 0.5000 0.5000


Entry 3:
# FeBPCl2 (PBE, relaxed)
# Raw formation energy (meV/atom): 987
# D(E_F) (states/eV per cell): 4.77
# Energy above the lowest structure with this stoichiometry (meV/atom): 101
# Total energy (eV/cell): -19.310
data_FeBPCl2
_chemical_formula_sum 'Fe1 B1 P1 Cl2'
_cell_length_a 4.7990
_cell_length_b 4.7990
_cell_length_c 4.3637
_cell_angle_alpha 90.00
_cell_angle_beta 90.00
_cell_angle_gamma 90.00
_space_group_name_H-M_alt 'P 4/m m m'
_space_group_IT_number 123
_space_group_name_Hall '-P 4 2'
loop_
_atom_site_label
_atom_site_fract_x
_atom_site_fract_y
_atom_site_fract_z
Fe1 0.0000 0.0000 0.0000
B1 0.5000 0.5000 0.5000
P1 0.0000 0.0000 0.5000
Cl1 0.0000 0.5000 0.0000


Entry 4:
# FeBPRhCl (PBE, relaxed)
# Raw formation energy (meV/atom): -209
# D(E_F) (states/eV per cell): 2.05
# Energy above the lowest structure with this stoichiometry (meV/atom): 0
# Total energy (eV/cell): -30.791
data_FeBPRhCl
_chemical_formula_sum 'Fe1 B1 P1 Rh1 Cl1'
_cell_length_a 3.0964
_cell_length_b 4.1233
_cell_length_c 6.2231
_cell_angle_alpha 99.57
_cell_angle_beta 90.23
_cell_angle_gamma 111.90
_space_group_name_H-M_alt 'P 1'
_space_group_IT_number 1
loop_
_space_group_symop_operation_xyz
'x,y,z'
loop_
_atom_site_label
_atom_site_fract_x
_atom_site_fract_y
_atom_site_fract_z
Fe1 0.0000 0.0000 0.0000
B1 0.4268 0.8564 0.7906
P1 0.6929 0.3918 0.9420
Rh1 0.7949 0.5949 0.6181
Cl1 0.0535 0.1039 0.3711


Entry 5:
# FeBPRhCl (PBE, relaxed)
# Raw formation energy (meV/atom): -48
# D(E_F) (states/eV per cell): 7.58
# Energy above the lowest structure with this stoichiometry (meV/atom): 160
# Total energy (eV/cell): -59.980
data_FeBPRhCl
_chemical_formula_sum 'Fe2 B2 P2 Rh2 Cl2'
_cell_length_a 3.0449
_cell_length_b 4.7015
_cell_length_c 10.2756
_cell_angle_alpha 90.00
_cell_angle_beta 90.00
_cell_angle_gamma 90.00
_space_group_name_H-M_alt 'I m m 2'
_space_group_IT_number 44
loop_
_space_group_symop_operation_xyz
'x,y,z'
'-x,-y,z'
'-x,y,z'
'x,-y,z'
'x+1/2,y+1/2,z+1/2'
'-x+1/2,-y+1/2,z+1/2'
'-x+1/2,y+1/2,z+1/2'
'x+1/2,-y+1/2,z+1/2'
loop_
_atom_site_label
_atom_site_fract_x
_atom_site_fract_y
_atom_site_fract_z
Fe1 0.0000 0.0000 0.0000
B1 0.0000 0.5000 0.3628
P1 0.0000 0.5000 0.6750
Rh1 0.0000 0.0000 0.7392
Cl1 0.0000 0.5000 0.0225


Entry 6:
# FeBPRhCl (PBE, relaxed)
# Raw formation energy (meV/atom): 111
# D(E_F) (states/eV per cell): 6.20
# Energy above the lowest structure with this stoichiometry (meV/atom): 319
# Total energy (eV/cell): -58.388
data_FeBPRhCl
_chemical_formula_sum 'Fe2 B2 P2 Rh2 Cl2'
_cell_length_a 8.6888
_cell_length_b 4.2262
_cell_length_c 3.8463
_cell_angle_alpha 90.00
_cell_angle_beta 90.40
_cell_angle_gamma 90.00
_space_group_name_H-M_alt 'C 1 m 1'
_space_group_IT_number 8
loop_
_space_group_symop_operation_xyz
'x,y,z'
'x,-y,z'
'x+1/2,y+1/2,z'
'x+1/2,-y+1/2,z'
loop_
_atom_site_label
_atom_site_fract_x
_atom_site_fract_y
_atom_site_fract_z
Fe1 0.0000 0.0000 0.0000
B1 0.4056 0.5000 0.5036
P1 0.1356 0.0000 0.5095
Rh1 0.2027 0.5000 0.2795
Cl1 0.4258 0.0000 0.9384


Entry 7:
# FeBPRhCl (PBE, relaxed)
# Raw formation energy (meV/atom): 218
# D(E_F) (states/eV per cell): 1.61
# Energy above the lowest structure with this stoichiometry (meV/atom): 426
# Total energy (eV/cell): -28.660
data_FeBPRhCl
_chemical_formula_sum 'Fe1 B1 P1 Rh1 Cl1'
_cell_length_a 3.8741
_cell_length_b 4.2829
_cell_length_c 4.9943
_cell_angle_alpha 105.15
_cell_angle_beta 94.30
_cell_angle_gamma 102.55
_space_group_name_H-M_alt 'P 1'
_space_group_IT_number 1
loop_
_space_group_symop_operation_xyz
'x,y,z'
loop_
_atom_site_label
_atom_site_fract_x
_atom_site_fract_y
_atom_site_fract_z
Fe1 0.0000 0.0000 0.0000
B1 0.6915 0.8428 0.6526
P1 0.5933 0.1849 0.1863
Rh1 0.4467 0.6837 0.2776
Cl1 0.1132 0.4246 0.7794


Entry 8:
# FeBPRhCl (PBE, relaxed)
# Raw formation energy (meV/atom): -50
# D(E_F) (states/eV per cell): 4.83
# Energy above the lowest structure with this stoichiometry (meV/atom): 159
# Total energy (eV/cell): -59.994
data_FeBPRhCl
_chemical_formula_sum 'Fe2 B2 P2 Rh2 Cl2'
_cell_length_a 5.9304
_cell_length_b 3.3774
_cell_length_c 7.0087
_cell_angle_alpha 90.00
_cell_angle_beta 106.55
_cell_angle_gamma 90.00
_space_group_name_H-M_alt 'C 1 m 1'
_space_group_IT_number 8
loop_
_space_group_symop_operation_xyz
'x,y,z'
'x,-y,z'
'x+1/2,y+1/2,z'
'x+1/2,-y+1/2,z'
loop_
_atom_site_label
_atom_site_fract_x
_atom_site_fract_y
_atom_site_fract_z
Fe1 0.0000 0.0000 0.0000
B1 0.1707 0.5000 0.0054
P1 0.3947 0.0000 0.1970
Rh1 0.1263 0.0000 0.3897
Cl1 0.3874 0.5000 0.6643


- The lowest total energy belongs to which entry?
  number 8